No. 1
Crystalline Dy4Ga3Pt at its relaxed geometry, computed with PBE.

abc: 3.892 4.338 11.088
angles: 90.00 90.00 90.00
Fractional positions:
Dy1 0.500 0.500 0.346
Dy2 0.000 0.500 0.868
Dy3 0.000 0.000 0.140
Dy4 0.500 0.000 0.648
Ga1 0.000 0.500 0.574
Ga2 0.000 0.000 0.426
Ga3 0.500 0.000 0.920
Pt1 0.500 0.500 0.079

Results
Calculated formation energy (eV per atom): -0.774



No. 2
Crystalline Dy2Ga9Pt3 at its relaxed geometry, computed with PBE.

abc: 7.700 7.700 10.528
angles: 89.93 111.65 119.81
Fractional positions:
Dy1 0.333 0.248 0.749
Dy2 0.667 0.752 0.251
Dy3 0.999 0.584 0.751
Dy4 0.001 0.416 0.249
Ga1 0.463 0.918 0.749
Ga2 0.537 0.082 0.251
Ga3 0.668 0.714 0.751
Ga4 0.332 0.286 0.249
Ga5 0.444 0.637 0.921
Ga6 0.556 0.363 0.079
Ga7 0.217 0.523 0.579
Ga8 0.783 0.477 0.421
Ga9 0.875 0.125 0.750
Ga10 0.125 0.875 0.250
Ga11 0.122 0.977 0.928
Ga12 0.878 0.023 0.072
Ga13 0.550 0.194 0.572
Ga14 0.450 0.806 0.428
Ga15 0.888 0.859 0.580
Ga16 0.112 0.141 0.420
Ga17 0.779 0.307 0.920
Ga18 0.221 0.693 0.080
Pt1 0.500 0.000 0.000
Pt2 0.500 0.500 0.500
Pt3 0.838 0.168 0.498
Pt4 0.162 0.832 0.502
Pt5 0.169 0.339 0.002
Pt6 0.831 0.661 0.998

Results
Calculated formation energy (eV per atom): -0.669



No. 3
Crystalline Dy3GaPt12 at its relaxed geometry, computed with PBE.

abc: 4.097 4.097 16.175
angles: 90.00 90.00 90.00
Fractional positions:
Dy1 0.000 0.000 0.245
Dy2 0.000 0.000 0.500
Dy3 0.000 0.000 0.755
Ga1 0.000 0.000 0.000
Pt1 0.500 0.500 0.000
Pt2 0.500 0.500 0.243
Pt3 0.500 0.500 0.500
Pt4 0.500 0.500 0.757
Pt5 0.500 0.000 0.115
Pt6 0.500 0.000 0.372
Pt7 0.500 0.000 0.628
Pt8 0.500 0.000 0.885
Pt9 0.000 0.500 0.115
Pt10 0.000 0.500 0.372
Pt11 0.000 0.500 0.628
Pt12 0.000 0.500 0.885

Results
Calculated formation energy (eV per atom): -0.882



No. 4
Crystalline DyGa2Pt3 at its relaxed geometry, computed with PBE.

abc: 4.044 8.644 9.951
angles: 106.33 90.00 103.53
Fractional positions:
Dy1 0.164 0.329 0.709
Dy2 0.836 0.671 0.291
Dy3 0.000 0.000 0.000
Ga1 0.193 0.386 0.124
Ga2 0.807 0.614 0.876
Ga3 0.460 0.920 0.221
Ga4 0.540 0.080 0.779
Ga5 0.362 0.723 0.546
Ga6 0.638 0.277 0.454
Pt1 0.040 0.081 0.332
Pt2 0.960 0.919 0.668
Pt3 0.219 0.438 0.390
Pt4 0.781 0.562 0.610
Pt5 0.613 0.226 0.188
Pt6 0.387 0.774 0.812
Pt7 0.500 0.000 0.500
Pt8 0.323 0.646 0.049
Pt9 0.677 0.354 0.951

Results
Calculated formation energy (eV per atom): -0.906



No. 5
Crystalline Dy3GaPt at its relaxed geometry, computed with PBE.

abc: 4.436 6.218 10.191
angles: 90.00 90.00 110.90
Fractional positions:
Dy1 0.091 0.182 0.750
Dy2 0.909 0.818 0.250
Dy3 0.354 0.708 0.560
Dy4 0.646 0.292 0.440
Dy5 0.646 0.292 0.060
Dy6 0.354 0.708 0.940
Ga1 0.232 0.463 0.250
Ga2 0.768 0.537 0.750
Pt1 0.000 0.000 0.500
Pt2 0.000 0.000 0.000

Results
Calculated formation energy (eV per atom): -0.708



No. 6
Crystalline Dy3Ga4Pt2 at its relaxed geometry, computed with PBE.

abc: 4.374 5.767 8.355
angles: 71.30 74.83 67.72
Fractional positions:
Dy1 0.319 0.720 0.642
Dy2 0.000 0.000 0.000
Dy3 0.681 0.280 0.358
Ga1 0.256 0.405 0.084
Ga2 0.744 0.595 0.916
Ga3 0.018 0.322 0.643
Ga4 0.982 0.678 0.357
Pt1 0.399 0.933 0.269
Pt2 0.601 0.067 0.731

Results
Calculated formation energy (eV per atom): -0.949